Here is a relaxed FeCo6Ni2 crystal from Alexandria. Energies are from PBE-GGA.

ρ: 8.863 g/cm³
space group: No. 71
uncorrected energy: -0.5108 Ry per atom
total magnetization: 1.488 μB/atom

Cell lengths 7.4449, 2.4793, 10.6953 Å; angles 90.00, 90.00, 90.00 degrees
Atoms (fractional coordinates):
Fe (0.5000, 0.5000, 0.0000)
Fe (0.0000, 0.0000, 0.5000)
Co (0.6674, 0.9997, 0.1675)
Co (0.6674, 0.9997, 0.8325)
Co (0.6684, 0.9998, 0.5000)
Co (0.8316, 0.4998, 0.0000)
Co (0.8326, 0.4997, 0.3325)
Co (0.8326, 0.4997, 0.6675)
Co (0.1674, 0.5003, 0.3325)
Co (0.1674, 0.5003, 0.6675)
Co (0.1684, 0.5002, 0.0000)
Co (0.3316, 0.0002, 0.5000)
Co (0.3326, 0.0003, 0.1675)
Co (0.3326, 0.0003, 0.8325)
Ni (0.5000, 0.5000, 0.3329)
Ni (0.5000, 0.5000, 0.6671)
Ni (0.0000, 0.0000, 0.1671)
Ni (0.0000, 0.0000, 0.8329)